The following is a DFT calculation (GGA-PBE) of Li4PrGe4 after structural relaxation.

Output
Symmetry = P4_2/nmc (137)

Lattice parameters (Å, degrees): 6.1686 6.1686 8.7443 90.00 90.00 90.00
Atoms (fractional coordinates):
Li (0.0069, 0.2500, 0.1553)
Li (0.2500, 0.0069, 0.6553)
Li (0.2500, 0.4931, 0.6553)
Li (0.4931, 0.2500, 0.1553)
Li (0.5069, 0.7500, 0.8447)
Li (0.7500, 0.5069, 0.3447)
Li (0.7500, 0.9931, 0.3447)
Li (0.9931, 0.7500, 0.8447)
Pr (0.2500, 0.7500, 0.2500)
Pr (0.7500, 0.2500, 0.7500)
Ge (0.0494, 0.2500, 0.4541)
Ge (0.2500, 0.0494, 0.9541)
Ge (0.2500, 0.4506, 0.9541)
Ge (0.4506, 0.2500, 0.4541)
Ge (0.5494, 0.7500, 0.5459)
Ge (0.7500, 0.5494, 0.0459)
Ge (0.7500, 0.9506, 0.0459)
Ge (0.9506, 0.7500, 0.5459)

=====

The following is a DFT calculation (GGA-PBE) of Li4Pr3Ge4 after structural relaxation.

Output
Symmetry = Immm (71)

Lattice parameters (Å, degrees): 8.4890 8.4890 8.4890 149.48 132.09 57.88
Atoms (fractional coordinates):
Li (0.0184, 0.8291, 0.1893)
Li (0.3602, 0.1709, 0.1893)
Li (0.6398, 0.8291, 0.8107)
Li (0.9816, 0.1709, 0.8107)
Pr (0.0000, 0.5000, 0.5000)
Pr (0.3689, 0.3689, 0.0000)
Pr (0.6311, 0.6311, 0.0000)
Ge (0.2136, 0.7136, 0.5000)
Ge (0.3150, 0.0000, 0.3150)
Ge (0.6850, 0.0000, 0.6850)
Ge (0.7864, 0.2864, 0.5000)

=====

The following is a DFT calculation (GGA-PBE) of LiPrGe after structural relaxation.

Output
Symmetry = P-62m (189)

Lattice parameters (Å, degrees): 7.3592 7.3592 4.4076 90.00 90.00 120.00
Atoms (fractional coordinates):
Li (0.0000, 0.2329, 0.0000)
Li (0.2329, 0.0000, 0.0000)
Li (0.7671, 0.7671, 0.0000)
Pr (0.0000, 0.5813, 0.5000)
Pr (0.4187, 0.4187, 0.5000)
Pr (0.5813, 0.0000, 0.5000)
Ge (0.0000, 0.0000, 0.5000)
Ge (0.3333, 0.6667, 0.0000)
Ge (0.6667, 0.3333, 0.0000)

=====

The following is a DFT calculation (GGA-PBE) of Li3PrGe3 after structural relaxation.

Output
Symmetry = Pm-3n (223)

Lattice parameters (Å, degrees): 6.6820 6.6820 6.6820 90.00 90.00 90.00
Atoms (fractional coordinates):
Li (0.0000, 0.2500, 0.5000)
Li (0.0000, 0.7500, 0.5000)
Li (0.2500, 0.5000, 0.0000)
Li (0.5000, 0.0000, 0.2500)
Li (0.5000, 0.0000, 0.7500)
Li (0.7500, 0.5000, 0.0000)
Pr (0.0000, 0.0000, 0.0000)
Pr (0.5000, 0.5000, 0.5000)
Ge (0.0000, 0.5000, 0.2500)
Ge (0.0000, 0.5000, 0.7500)
Ge (0.2500, 0.0000, 0.5000)
Ge (0.5000, 0.2500, 0.0000)
Ge (0.5000, 0.7500, 0.0000)
Ge (0.7500, 0.0000, 0.5000)

=====

The following is a DFT calculation (GGA-PBE) of LiPrGe2 after structural relaxation.

Output
Offset from the most stable computed form = 167.4 meV per atom
Symmetry = P4/mmm (123)

Lattice parameters (Å, degrees): 4.4280 4.4280 4.3363 90.00 90.00 90.00
Atoms (fractional coordinates):
Li (0.0000, 0.0000, 0.0000)
Pr (0.5000, 0.5000, 0.0000)
Ge (0.0000, 0.5000, 0.5000)
Ge (0.5000, 0.0000, 0.5000)

=====

The following is a DFT calculation (GGA-PBE) of Li4PrGe2 after structural relaxation.

Output
Symmetry = P4_2/mnm (136)

Lattice parameters (Å, degrees): 7.7644 7.7644 4.4219 90.00 90.00 90.00
Atoms (fractional coordinates):
Li (0.1009, 0.3458, 0.0000)
Li (0.1542, 0.6009, 0.5000)
Li (0.3458, 0.1009, 0.0000)
Li (0.3991, 0.8458, 0.5000)
Li (0.6009, 0.1542, 0.5000)
Li (0.6542, 0.8991, 0.0000)
Li (0.8458, 0.3991, 0.5000)
Li (0.8991, 0.6542, 0.0000)
Pr (0.0000, 0.0000, 0.5000)
Pr (0.5000, 0.5000, 0.0000)
Ge (0.2117, 0.7883, 0.0000)
Ge (0.2883, 0.2883, 0.5000)
Ge (0.7117, 0.7117, 0.5000)
Ge (0.7883, 0.2117, 0.0000)

=====

The following is a DFT calculation (GGA-PBE) of LiPrGe after structural relaxation.

Output
Symmetry = Fddd (70)

Lattice parameters (Å, degrees): 8.4504 7.8308 6.4905 71.63 61.58 46.80
Atoms (fractional coordinates):
Li (0.0054, 0.2446, 0.0054)
Li (0.2446, 0.0054, 0.2446)
Li (0.7554, 0.9946, 0.7554)
Li (0.9946, 0.7554, 0.9946)
Pr (0.0000, 0.5000, 0.5000)
Pr (0.5000, 0.0000, 0.5000)
Pr (0.5000, 0.5000, 0.0000)
Pr (0.5000, 0.5000, 0.5000)
Ge (0.0470, 0.0470, 0.7030)
Ge (0.2970, 0.2970, 0.9530)
Ge (0.7030, 0.7030, 0.0470)
Ge (0.9530, 0.9530, 0.2970)

=====

The following is a DFT calculation (GGA-PBE) of LiPr2Ge6 after structural relaxation.

Output
Symmetry = Cmmm (65)

Lattice parameters (Å, degrees): 11.0358 11.0358 4.2809 90.00 90.00 158.33
Atoms (fractional coordinates):
Li (0.0000, 0.0000, 0.0000)
Pr (0.1663, 0.8337, 0.0000)
Pr (0.8337, 0.1663, 0.0000)
Ge (0.0626, 0.9374, 0.5000)
Ge (0.2865, 0.7135, 0.5000)
Ge (0.4381, 0.5619, 0.0000)
Ge (0.5619, 0.4381, 0.0000)
Ge (0.7135, 0.2865, 0.5000)
Ge (0.9374, 0.0626, 0.5000)

=====

| no. | ΔE_f (eV per atom) |
| --- | --- |
| 1 | -0.38 |
| 2 | -0.66 |
| 3 | -0.67 |
| 4 | 0.10 |
| 5 | -0.50 |
| 6 | -0.47 |
| 7 | -0.34 |
| 8 | -0.43 |